Record 1
Ag2MoW: relaxed, GGA-PBE.

Space-group type = Immm, No. 71
D(E_F) = 2.65 states/eV/cell
Density = 12.4 g cm⁻³
Formation energy from the elements = 0.60 eV per atom
Excess energy over the best structure of this formula in the dataset = 1.18 eV/f.u.

```
Ag2MoW
1.0
-1.6425 2.1123 4.7972
1.6425 -2.1123 4.7972
1.6425 2.1123 -4.7972
Ag Mo W
2 1 1
Direct
0.2484 0.2484 0.0000 Ag
0.7516 0.7516 0.0000 Ag
0.5000 0.0000 0.5000 Mo
0.0000 0.5000 0.5000 W
```

---

Record 2
ZrW2Cl: relaxed, GGA-PBE.

Space-group type = Pmmm, No. 47
Formation energy without anion corrections = 0.636 eV/atom
D(E_F) = 3.61 states/eV/cell
Density = 11.2 g cm⁻³
Excess energy over the best structure of this formula in the dataset = 2.67 eV/f.u.

```
ZrW2Cl
1.0
2.8483 0.0000 0.0000
0.0000 4.8580 0.0000
0.0000 0.0000 5.2904
Zr W Cl
1 2 1
Direct
0.0000 0.0000 0.0000 Zr
0.5000 0.5000 0.2356 W
0.5000 0.5000 0.7644 W
0.0000 0.0000 0.5000 Cl
```

---

Record 3
Fe2AsIr: relaxed, GGA-PBE.

Space-group type = Pmm2, No. 25
D(E_F) = 2.74 states/eV/cell
Density = 11.6 g cm⁻³
Formation energy from the elements = 0.02 eV per atom

```
Fe2AsIr
1.0
2.8792 0.0000 0.0000
0.0000 4.1461 0.0000
0.0000 0.0000 4.5321
Fe As Ir
2 1 1
Direct
0.0000 0.0000 0.0000 Fe
0.0000 0.5000 0.2778 Fe
0.5000 0.0000 0.4533 As
0.5000 0.5000 0.7814 Ir
```

---

Record 4
CdNiPb2: relaxed, GGA-PBE.

Space-group type = Cm, No. 8
D(E_F) = 1.81 states/eV/cell
Density = 9.7 g cm⁻³
Formation energy from the elements = 0.11 eV per atom
Excess energy over the best structure of this formula in the dataset = 0.03 eV/f.u.

```
CdNiPb2
1.0
4.8193 -1.7598 0.0000
4.8193 1.7598 0.0000
-2.5277 0.0000 5.9393
Cd Ni Pb
1 1 2
Direct
0.0000 0.0000 0.0000 Cd
0.7151 0.7151 0.9997 Ni
0.1963 0.1963 0.6781 Pb
0.3685 0.3685 0.3272 Pb
```

---

Record 5
Zn2WSe: relaxed, GGA-PBE.

Space-group type = I-4m2, No. 119
Formation energy without anion corrections = 0.474 eV/atom
D(E_F) = 1.90 states/eV/cell
Density = 10.2 g cm⁻³

```
Zn2WSe
1.0
-1.9274 1.9274 4.3020
1.9274 -1.9274 4.3020
1.9274 1.9274 -4.3020
Zn W Se
2 1 1
Direct
0.0000 0.0000 0.0000 Zn
0.7500 0.2500 0.5000 Zn
0.5000 0.5000 0.0000 W
0.2500 0.7500 0.5000 Se
```

---

Record 6
MnGe2Os: relaxed, GGA-PBE.

Space-group type = R3m, No. 160
D(E_F) = 1.70 states/eV/cell
Density = 9.9 g cm⁻³
Formation energy from the elements = 0.12 eV per atom
Excess energy over the best structure of this formula in the dataset = 0.00 eV/f.u.

```
MnGe2Os
1.0
2.0351 1.1750 4.5847
-2.0351 1.1750 4.5847
0.0000 -2.3499 4.5847
Mn Ge Os
1 2 1
Direct
0.0000 0.0000 0.0000 Mn
0.5859 0.5859 0.5859 Ge
0.7788 0.7788 0.7788 Ge
0.1946 0.1946 0.1946 Os
```

---

Record 7
YFeOs2: relaxed, GGA-PBE.

Space-group type = P2/m, No. 10
D(E_F) = 3.82 states/eV/cell
Density = 13.4 g cm⁻³
Formation energy from the elements = 0.36 eV per atom
Excess energy over the best structure of this formula in the dataset = 0.49 eV/f.u.

```
YFeOs2
1.0
4.5870 0.0000 0.0000
0.0000 3.0835 0.0000
-0.0119 0.0000 4.5997
Y Fe Os
1 1 2
Direct
0.0000 0.0000 0.0000 Y
0.0000 0.5000 0.5000 Fe
0.5000 0.0000 0.5000 Os
0.5000 0.5000 0.0000 Os
```

---

Record 8
Ba4Sn3Au5: relaxed, GGA-PBE.

Space-group type = C2/m, No. 12
D(E_F) = 7.37 states/eV/cell
Density = 7.8 g cm⁻³
Formation energy from the elements = -0.53 eV per atom

```
Ba4Sn3Au5
1.0
8.6215 -2.5034 0.0000
8.6215 2.5034 0.0000
-7.3076 0.0000 9.3243
Ba Sn Au
4 3 5
Direct
0.0228 0.0228 0.3201 Ba
0.2704 0.2704 0.7529 Ba
0.7296 0.7296 0.2471 Ba
0.9772 0.9772 0.6799 Ba
0.0000 0.0000 0.0000 Sn
0.3077 0.3077 0.0838 Sn
0.6923 0.6923 0.9162 Sn
0.2888 0.2888 0.4852 Au
0.4023 0.4023 0.3796 Au
0.5000 0.5000 0.0000 Au
0.5977 0.5977 0.6204 Au
0.7112 0.7112 0.5148 Au
```

---

Record 9
TbNd3Dy6Ho2: relaxed, GGA-PBE.

Space-group type = C2/m, No. 12
D(E_F) = 15.58 states/eV/cell
Density = 8.1 g cm⁻³
Formation energy from the elements = 0.02 eV per atom

```
TbNd3Dy6Ho2
1.0
3.0989 -5.3648 0.0000
3.0989 5.3648 0.0000
-2.0583 0.0000 11.6457
Tb Nd Dy Ho
1 3 6 2
Direct
0.0000 0.0000 0.0000 Tb
0.1667 0.8333 0.5000 Nd
0.5000 0.5000 0.5000 Nd
0.8333 0.1667 0.5000 Nd
0.0825 0.4160 0.2462 Dy
0.2510 0.2510 0.7538 Dy
0.4160 0.0825 0.2462 Dy
0.5840 0.9175 0.7538 Dy
0.7490 0.7490 0.2462 Dy
0.9175 0.5840 0.7538 Dy
0.3333 0.6667 0.0000 Ho
0.6667 0.3333 0.0000 Ho
```

---

Record 10
ErB6Rh12: relaxed, GGA-PBE.

Space-group type = R-3m, No. 166
D(E_F) = 19.02 states/eV/cell
Density = 10.1 g cm⁻³
Formation energy from the elements = -0.36 eV per atom

```
ErB6Rh12
1.0
5.1202 2.9561 2.6662
-5.1202 2.9561 2.6662
0.0000 -5.9123 2.6662
Er B Rh
1 6 12
Direct
0.0000 0.0000 0.0000 Er
0.2352 0.2352 0.6727 B
0.2352 0.6727 0.2352 B
0.3273 0.7648 0.7648 B
0.6727 0.2352 0.2352 B
0.7648 0.3273 0.7648 B
0.7648 0.7648 0.3273 B
0.1331 0.5000 0.8669 Rh
0.1331 0.8669 0.5000 Rh
0.1849 0.4479 0.4479 Rh
0.4479 0.1849 0.4479 Rh
0.4479 0.4479 0.1849 Rh
0.5000 0.1331 0.8669 Rh
0.5000 0.8669 0.1331 Rh
0.5521 0.5521 0.8151 Rh
0.5521 0.8151 0.5521 Rh
0.8151 0.5521 0.5521 Rh
0.8669 0.1331 0.5000 Rh
0.8669 0.5000 0.1331 Rh
```

---

Record 11
Na2LiErCl6: relaxed, GGA-PBE.

Space-group type = Fm-3m, No. 225
Formation energy without anion corrections = -1.886 eV/atom
D(E_F) = 0.00 states/eV/cell
Density = 2.7 g cm⁻³
Excess energy over the best structure of this formula in the dataset = 1.09 eV/f.u.

```
Na2LiErCl6
1.0
0.0000 5.1065 5.1065
5.1065 0.0000 5.1065
5.1065 5.1065 0.0000
Na Li Er Cl
2 1 1 6
Direct
0.2500 0.2500 0.2500 Na
0.7500 0.7500 0.7500 Na
0.0000 0.0000 0.0000 Li
0.5000 0.5000 0.5000 Er
0.2464 0.2464 0.7536 Cl
0.2464 0.7536 0.2464 Cl
0.2464 0.7536 0.7536 Cl
0.7536 0.2464 0.2464 Cl
0.7536 0.2464 0.7536 Cl
0.7536 0.7536 0.2464 Cl
```

---

Record 12
TiCuGe2: relaxed, GGA-PBE.

Space-group type = P4/mmm, No. 123
D(E_F) = 1.60 states/eV/cell
Density = 7.1 g cm⁻³
Formation energy from the elements = -0.22 eV per atom

```
TiCuGe2
1.0
4.0503 0.0000 0.0000
0.0000 4.0503 0.0000
0.0000 0.0000 3.6836
Ti Cu Ge
1 1 2
Direct
0.0000 0.0000 0.0000 Ti
0.5000 0.5000 0.0000 Cu
0.0000 0.5000 0.5000 Ge
0.5000 0.0000 0.5000 Ge
```